Below is an optimized crystal structure of Sr2Tl2WO6, with properties calculated at the PBE with a Hubbard U level.

extended XYZ file:
```
11
Lattice="3.111 -5.269 0.000 3.111 5.269 0.000 -1.702 0.000 6.411" Properties=species:S:1:pos:R:3 pbc="T T T"
Sr 3.111 3.538 0.000
Sr 3.111 -3.538 0.000
Tl 2.260 1.706 3.206
Tl 2.260 -1.706 3.206
W 3.111 0.000 0.000
O 0.544 1.422 5.365
O 1.514 0.000 1.209
O 0.544 -1.422 5.365
O 3.976 1.422 1.046
O 3.006 0.000 5.202
O 3.976 -1.422 1.046
```

Calculated values
- total magnetic moment (μB/f.u.) = 0.00
- energy (eV per atom) = -6.104